Entry 1:
# LaCd2Tc PBE optimized geometry
data_LaCd2Tc
_cell_length_a 6.1591
_cell_length_b 6.1591
_cell_length_c 3.1552
_cell_angle_alpha 99.26
_cell_angle_beta 99.26
_cell_angle_gamma 126.79
_symmetry_space_group_name_H-M 'P 1'
_symmetry_Int_Tables_number 1
_symmetry_space_group_name_Hall 'P 1'
loop_
_atom_site_label
_atom_site_type_symbol
_atom_site_fract_x
_atom_site_fract_y
_atom_site_fract_z
La1 La 0.0000 0.0000 0.0000
Cd1 Cd 0.0000 0.5000 0.5000
Cd2 Cd 0.5000 0.0000 0.5000
Tc1 Tc 0.5000 0.5000 0.0000
# **Relative energy among the computed polymorphs**: 219.2 meV per atom
# **Crystal system**: monoclinic
# **Theoretical density**: 8.57 g/cm³
# **N(E_F)**: 3.01 states/eV/f.u.
# **Calculated formation energy**: 303 meV per atom
# **Magnetic moment**: 0.00 μB/f.u.
# **E_tot**: -3.978 eV per atom

---

Entry 2:
# La6Cd2Tc PBE optimized geometry
data_La6Cd2Tc
_cell_length_a 7.6446
_cell_length_b 7.4896
_cell_length_c 12.9147
_cell_angle_alpha 90.00
_cell_angle_beta 125.96
_cell_angle_gamma 90.00
_symmetry_space_group_name_H-M 'P 1'
_symmetry_Int_Tables_number 1
_symmetry_space_group_name_Hall 'P 1'
loop_
_atom_site_label
_atom_site_type_symbol
_atom_site_fract_x
_atom_site_fract_y
_atom_site_fract_z
La1 La 0.1861 0.0012 0.2561
La2 La 0.1861 0.4988 0.7561
La3 La 0.2816 0.2361 0.5378
La4 La 0.2816 0.2639 0.0378
La5 La 0.2964 0.7478 0.5366
La6 La 0.2964 0.7522 0.0366
La7 La 0.7036 0.2478 0.9634
La8 La 0.7036 0.2522 0.4634
La9 La 0.7184 0.7361 0.9622
La10 La 0.7184 0.7639 0.4622
La11 La 0.8139 0.5012 0.2439
La12 La 0.8139 0.9988 0.7439
Cd1 Cd 0.2579 0.5102 0.2574
Cd2 Cd 0.2579 0.9898 0.7574
Cd3 Cd 0.7421 0.0102 0.2426
Cd4 Cd 0.7421 0.4898 0.7426
Tc1 Tc 0.0000 0.0000 0.0000
Tc2 Tc 0.0000 0.5000 0.5000
# **Relative energy among the computed polymorphs**: 31.8 meV per atom
# **Crystal system**: monoclinic
# **Theoretical density**: 6.42 g/cm³
# **N(E_F)**: 11.10 states/eV/f.u.
# **Calculated formation energy**: -121 meV per atom
# **Magnetic moment**: 0.00 μB/f.u.
# **E_tot**: -4.761 eV per atom

---

Entry 3:
# LaCd2Tc PBE optimized geometry
data_LaCd2Tc
_cell_length_a 5.2566
_cell_length_b 5.2566
_cell_length_c 6.3793
_cell_angle_alpha 117.95
_cell_angle_beta 117.95
_cell_angle_gamma 38.77
_symmetry_space_group_name_H-M 'P 1'
_symmetry_Int_Tables_number 1
_symmetry_space_group_name_Hall 'P 1'
loop_
_atom_site_label
_atom_site_type_symbol
_atom_site_fract_x
_atom_site_fract_y
_atom_site_fract_z
La1 La 0.0000 0.0000 0.0000
Cd1 Cd 0.6104 0.6104 0.5718
Cd2 Cd 0.8327 0.8327 0.3768
Tc1 Tc 0.2596 0.2596 0.9819
# **Relative energy among the computed polymorphs**: 84.8 meV per atom
# **Crystal system**: monoclinic
# **Theoretical density**: 8.00 g/cm³
# **N(E_F)**: 4.05 states/eV/f.u.
# **Calculated formation energy**: 169 meV per atom
# **Magnetic moment**: 0.30 μB/f.u.
# **E_tot**: -4.112 eV per atom

---

Entry 4:
# LaCd2Tc PBE optimized geometry
data_LaCd2Tc
_cell_length_a 11.5110
_cell_length_b 11.5110
_cell_length_c 11.5110
_cell_angle_alpha 159.35
_cell_angle_beta 159.35
_cell_angle_gamma 29.37
_symmetry_space_group_name_H-M 'P 1'
_symmetry_Int_Tables_number 1
_symmetry_space_group_name_Hall 'P 1'
loop_
_atom_site_label
_atom_site_type_symbol
_atom_site_fract_x
_atom_site_fract_y
_atom_site_fract_z
La1 La 0.0000 0.0000 0.0000
La2 La 0.7500 0.2500 0.5000
Cd1 Cd 0.1565 0.6250 0.0315
Cd2 Cd 0.3750 0.4065 0.5315
Cd3 Cd 0.5935 0.1250 0.9685
Cd4 Cd 0.8750 0.8435 0.4685
Tc1 Tc 0.2500 0.7500 0.5000
Tc2 Tc 0.5000 0.5000 0.0000
# **Relative energy among the computed polymorphs**: 296.6 meV per atom
# **Crystal system**: tetragonal
# **Theoretical density**: 8.09 g/cm³
# **N(E_F)**: 3.94 states/eV/f.u.
# **Calculated formation energy**: 381 meV per atom
# **Magnetic moment**: 0.00 μB/f.u.
# **E_tot**: -3.900 eV per atom

---

Entry 5:
# LaCd2Tc PBE optimized geometry
data_LaCd2Tc
_cell_length_a 4.1716
_cell_length_b 4.1716
_cell_length_c 5.1169
_cell_angle_alpha 90.00
_cell_angle_beta 90.00
_cell_angle_gamma 90.00
_symmetry_space_group_name_H-M 'P 1'
_symmetry_Int_Tables_number 1
_symmetry_space_group_name_Hall 'P 1'
loop_
_atom_site_label
_atom_site_type_symbol
_atom_site_fract_x
_atom_site_fract_y
_atom_site_fract_z
La1 La 0.0000 0.0000 0.0000
Cd1 Cd 0.0000 0.5000 0.5000
Cd2 Cd 0.5000 0.0000 0.5000
Tc1 Tc 0.5000 0.5000 0.0000
# **Relative energy among the computed polymorphs**: 110.7 meV per atom
# **Crystal system**: tetragonal
# **Theoretical density**: 8.61 g/cm³
# **N(E_F)**: 3.60 states/eV/f.u.
# **Calculated formation energy**: 195 meV per atom
# **Magnetic moment**: 0.25 μB/f.u.
# **E_tot**: -4.086 eV per atom

---

Entry 6:
# LaCd2Tc2 PBE optimized geometry
data_LaCd2Tc2
_cell_length_a 8.4991
_cell_length_b 8.4991
_cell_length_c 2.9185
_cell_angle_alpha 90.00
_cell_angle_beta 90.00
_cell_angle_gamma 90.00
_symmetry_space_group_name_H-M 'P 1'
_symmetry_Int_Tables_number 1
_symmetry_space_group_name_Hall 'P 1'
loop_
_atom_site_label
_atom_site_type_symbol
_atom_site_fract_x
_atom_site_fract_y
_atom_site_fract_z
La1 La 0.0000 0.0000 0.0000
La2 La 0.5000 0.5000 0.0000
Cd1 Cd 0.1866 0.3134 0.0000
Cd2 Cd 0.3134 0.8134 0.0000
Cd3 Cd 0.6866 0.1866 0.0000
Cd4 Cd 0.8134 0.6866 0.0000
Tc1 Tc 0.0971 0.5971 0.5000
Tc2 Tc 0.4029 0.0971 0.5000
Tc3 Tc 0.5971 0.9029 0.5000
Tc4 Tc 0.9029 0.4029 0.5000
# **Relative energy among the computed polymorphs**: 0.0 meV per atom
# **Crystal system**: tetragonal
# **Theoretical density**: 8.82 g/cm³
# **N(E_F)**: 2.98 states/eV/f.u.
# **Calculated formation energy**: 367 meV per atom
# **Magnetic moment**: 0.00 μB/f.u.
# **E_tot**: -5.131 eV per atom